The following is a DFT calculation (PBE-GGA) of crystalline La8Ir3Au3N at its relaxed geometry.

Summary:
Space-group type ... No. 12
Formation energy without anion corrections ... -0.784 eV per atom
Crystal system ... monoclinic

Unit cell a=8.313 b=8.330 c=8.747 alpha=118.52 beta=90.00 gamma=119.93
Element x y z (fractional)
La 0.758 0.981 0.703
La 0.242 0.019 0.297
La 0.776 0.553 0.296
La 0.741 0.482 0.723
La 0.259 0.518 0.277
La 0.777 0.019 0.297
La 0.224 0.447 0.704
La 0.223 0.981 0.703
Ir 0.000 0.500 0.500
Ir 0.500 0.000 0.500
Ir 0.500 0.500 0.500
Au 0.000 0.500 0.000
Au 0.000 0.000 0.000
Au 0.500 0.500 0.000
N 0.000 0.000 0.500



The following is a DFT calculation (PBE-GGA) of crystalline AgMo3Pt at its relaxed geometry.

Summary:
Space-group type ... No. 221
Energy relative to the lowest polymorph listed for this composition ... 0.00 eV per formula unit
Energy of formation from the pure elements ... 171.0 kJ per mole of atoms
Crystal system ... cubic

Unit cell a=4.785 b=4.785 c=4.785 alpha=90.00 beta=90.00 gamma=90.00
Element x y z (fractional)
Mo 0.000 0.000 0.500
Mo 0.000 0.500 0.000
Mo 0.500 0.000 0.000
Pt 0.000 0.000 0.000
Ag 0.500 0.500 0.500



The following is a DFT calculation (PBE-GGA) of crystalline Pm3PrMg2 at its relaxed geometry.

Summary:
Space-group type ... No. 123
Energy of formation from the pure elements ... -6.0 kJ per mole of atoms
Crystal system ... tetragonal

Unit cell a=3.795 b=3.795 c=12.982 alpha=90.00 beta=90.00 gamma=90.00
Element x y z (fractional)
Pm 0.000 0.000 0.304
Pm 0.000 0.000 0.696
Pm 0.000 0.000 0.000
Mg 0.500 0.500 0.849
Mg 0.500 0.500 0.151
Pr 0.500 0.500 0.500



The following is a DFT calculation (PBE-GGA) of crystalline Ce2Tm2Ru3 at its relaxed geometry.

Summary:
Space-group type ... No. 12
Energy relative to the lowest polymorph listed for this composition ... 0.00 eV per formula unit
Energy of formation from the pure elements ... -35.8 kJ per mole of atoms
Crystal system ... monoclinic

Unit cell a=4.612 b=5.920 c=6.904 alpha=100.66 beta=90.00 gamma=112.92
Element x y z (fractional)
Ru 0.825 0.649 0.294
Ru 0.000 0.000 0.000
Ru 0.175 0.351 0.706
Tm 0.636 0.271 0.922
Tm 0.364 0.729 0.078
Ce 0.129 0.258 0.369
Ce 0.871 0.742 0.631